{
  "formula": "Sm3NiB7",
  "functional": "GGA-PBE",
  "state": "relaxed",
  "cell": [[-3.003, -1.575, 0.875], [5.163, -6.385, -0.780], [2.291, 0.731, 9.179]],
  "species": ["Sm", "Sm", "Sm", "Sm", "Sm", "Sm", "Ni", "Ni", "B", "B", "B", "B", "B", "B", "B", "B", "B", "B", "B", "B", "B", "B"],
  "frac_coords": [[0.105, 0.210, 0.436], [0.895, 0.790, 0.564], [0.243, 0.486, 0.750], [0.757, 0.514, 0.250], [0.105, 0.210, 0.064], [0.895, 0.790, 0.936], [0.943, 0.885, 0.250], [0.057, 0.115, 0.750], [0.470, 0.939, 0.750], [0.530, 0.061, 0.250], [0.477, 0.955, 0.408], [0.523, 0.045, 0.592], [0.523, 0.045, 0.908], [0.477, 0.955, 0.092], [0.371, 0.741, 0.348], [0.629, 0.259, 0.652], [0.274, 0.547, 0.469], [0.726, 0.453, 0.531], [0.726, 0.453, 0.969], [0.274, 0.547, 0.031], [0.371, 0.741, 0.152], [0.629, 0.259, 0.848]],
  "final_energy_ev_per_atom": -6.4503
}

{
  "formula": "SmNi12B6",
  "functional": "GGA-PBE",
  "state": "relaxed",
  "cell": [[-2.879, -3.614, -3.872], [1.228, -3.531, 4.729], [-4.262, 3.766, 1.999]],
  "species": ["Sm", "Ni", "Ni", "Ni", "Ni", "Ni", "Ni", "Ni", "Ni", "Ni", "Ni", "Ni", "Ni", "B", "B", "B", "B", "B", "B"],
  "frac_coords": [[0.000, 0.000, 0.000], [0.869, 0.131, 0.500], [0.813, 0.545, 0.545], [0.545, 0.545, 0.813], [0.455, 0.187, 0.455], [0.455, 0.455, 0.187], [0.187, 0.455, 0.455], [0.131, 0.500, 0.869], [0.500, 0.869, 0.131], [0.131, 0.869, 0.500], [0.869, 0.500, 0.131], [0.500, 0.131, 0.869], [0.545, 0.813, 0.545], [0.668, 0.235, 0.235], [0.235, 0.235, 0.668], [0.235, 0.668, 0.235], [0.765, 0.765, 0.332], [0.332, 0.765, 0.765], [0.765, 0.332, 0.765]],
  "final_energy_ev_per_atom": -6.4034
}

{
  "formula": "SmNi4B4",
  "functional": "GGA-PBE",
  "state": "relaxed",
  "cell": [[-1.541, -3.362, -0.641], [-1.171, -0.805, 7.039], [-6.442, 3.091, -0.718]],
  "species": ["Sm", "Sm", "Ni", "Ni", "Ni", "Ni", "Ni", "Ni", "Ni", "Ni", "B", "B", "B", "B", "B", "B", "B", "B"],
  "frac_coords": [[0.000, 0.000, 0.000], [0.500, 0.500, 0.500], [0.400, 0.354, 0.896], [0.900, 0.604, 0.854], [0.400, 0.646, 0.104], [0.100, 0.146, 0.604], [0.600, 0.896, 0.646], [0.100, 0.854, 0.396], [0.900, 0.396, 0.146], [0.600, 0.104, 0.354], [0.600, 0.832, 0.293], [0.600, 0.168, 0.707], [0.100, 0.793, 0.668], [0.900, 0.332, 0.793], [0.900, 0.668, 0.207], [0.400, 0.293, 0.168], [0.400, 0.707, 0.832], [0.100, 0.207, 0.332]],
  "final_energy_ev_per_atom": -6.4658
}

{
  "formula": "SmNi2B2",
  "functional": "GGA-PBE",
  "state": "relaxed",
  "cell": [[2.995, 0.000, -1.291], [-0.336, 3.853, -0.779], [0.506, -0.094, 5.293]],
  "species": ["Sm", "Ni", "Ni", "B", "B"],
  "frac_coords": [[0.000, 0.000, 0.000], [0.677, 0.597, 0.354], [0.323, 0.403, 0.646], [0.263, 0.877, 0.527], [0.737, 0.123, 0.473]],
  "final_energy_ev_per_atom": -6.3130
}

{
  "formula": "Sm2Ni12SnB3",
  "functional": "GGA-PBE",
  "state": "relaxed",
  "cell": [[-1.663, -5.606, 3.960], [-4.092, -5.142, -2.586], [2.705, -6.359, -1.454]],
  "species": ["Sm", "Sm", "Ni", "Ni", "Ni", "Ni", "Ni", "Ni", "Ni", "Ni", "Ni", "Ni", "Ni", "Ni", "Sn", "B", "B", "B"],
  "frac_coords": [[0.594, 0.594, 0.594], [0.406, 0.406, 0.406], [0.272, 0.272, 0.881], [0.854, 0.854, 0.468], [0.468, 0.854, 0.854], [0.881, 0.272, 0.272], [0.854, 0.468, 0.854], [0.272, 0.881, 0.272], [0.728, 0.728, 0.119], [0.146, 0.146, 0.532], [0.532, 0.146, 0.146], [0.119, 0.728, 0.728], [0.146, 0.532, 0.146], [0.728, 0.119, 0.728], [0.000, 0.000, 0.000], [0.500, 0.000, 0.000], [0.000, 0.500, 0.000], [0.000, 0.000, 0.500]],
  "final_energy_ev_per_atom": -5.7971
}

{
  "formula": "Sm2ZnNi12B3",
  "functional": "GGA-PBE",
  "state": "relaxed",
  "cell": [[-3.495, -5.813, 0.300], [2.359, -4.742, 4.248], [-3.610, -1.081, 5.647]],
  "species": ["Sm", "Sm", "Zn", "Ni", "Ni", "Ni", "Ni", "Ni", "Ni", "Ni", "Ni", "Ni", "Ni", "Ni", "Ni", "B", "B", "B"],
  "frac_coords": [[0.597, 0.597, 0.597], [0.403, 0.403, 0.403], [0.000, 0.000, 0.000], [0.274, 0.274, 0.882], [0.863, 0.863, 0.419], [0.419, 0.863, 0.863], [0.882, 0.274, 0.274], [0.863, 0.419, 0.863], [0.274, 0.882, 0.274], [0.726, 0.726, 0.118], [0.137, 0.137, 0.581], [0.581, 0.137, 0.137], [0.118, 0.726, 0.726], [0.137, 0.581, 0.137], [0.726, 0.118, 0.726], [0.500, 0.000, 0.000], [0.000, 0.500, 0.000], [0.000, 0.000, 0.500]],
  "final_energy_ev_per_atom": -5.6083
}

{
  "formula": "NiSn3B",
  "functional": "GGA-PBE",
  "state": "relaxed",
  "cell": [[4.733, 0.000, 0.000], [0.000, 4.733, 0.000], [0.000, 0.000, 4.733]],
  "species": ["Ni", "B", "Sn", "Sn", "Sn"],
  "frac_coords": [[0.500, 0.500, 0.500], [0.000, 0.000, 0.000], [0.000, 0.500, 0.000], [0.000, 0.000, 0.500], [0.500, 0.000, 0.000]],
  "final_energy_ev_per_atom": -4.0619
}

{
  "formula": "Ni9Sn3B2",
  "functional": "GGA-PBE",
  "state": "relaxed",
  "cell": [[-1.808, 2.075, -4.773], [-2.490, -4.387, 2.216], [-8.071, 7.850, 6.470]],
  "species": ["Ni", "Ni", "Ni", "Ni", "Ni", "Ni", "Ni", "Ni", "Ni", "Ni", "Ni", "Ni", "Ni", "Ni", "Ni", "Ni", "Ni", "Ni", "Sn", "Sn", "Sn", "Sn", "Sn", "Sn", "B", "B", "B", "B"],
  "frac_coords": [[0.509, 0.017, 0.750], [0.983, 0.491, 0.750], [0.509, 0.491, 0.750], [0.491, 0.983, 0.250], [0.017, 0.509, 0.250], [0.491, 0.509, 0.250], [0.162, 0.325, 0.918], [0.675, 0.838, 0.918], [0.162, 0.838, 0.918], [0.838, 0.675, 0.082], [0.325, 0.162, 0.082], [0.838, 0.162, 0.082], [0.838, 0.675, 0.418], [0.325, 0.162, 0.418], [0.838, 0.162, 0.418], [0.162, 0.325, 0.582], [0.675, 0.838, 0.582], [0.162, 0.838, 0.582], [0.000, 0.000, 0.750], [0.000, 0.000, 0.250], [0.667, 0.333, 0.919], [0.333, 0.667, 0.081], [0.333, 0.667, 0.419], [0.667, 0.333, 0.581], [0.667, 0.333, 0.168], [0.333, 0.667, 0.832], [0.333, 0.667, 0.668], [0.667, 0.333, 0.332]],
  "final_energy_ev_per_atom": -5.7416
}

{
  "formula": "Ni12SnB5",
  "functional": "GGA-PBE",
  "state": "relaxed",
  "cell": [[5.711, -0.188, -2.295], [-3.031, 5.118, -1.593], [-0.112, 0.188, 6.154]],
  "species": ["Ni", "Ni", "Ni", "Ni", "Ni", "Ni", "Ni", "Ni", "Ni", "Ni", "Ni", "Ni", "Sn", "B", "B", "B", "B", "B"],
  "frac_coords": [[0.539, 0.821, 0.718], [0.461, 0.179, 0.282], [0.897, 0.179, 0.718], [0.103, 0.821, 0.282], [0.681, 0.681, 0.362], [0.319, 0.319, 0.638], [0.319, 0.681, 0.999], [0.681, 0.319, 0.001], [0.815, 0.600, 0.785], [0.185, 0.400, 0.215], [0.185, 0.970, 0.785], [0.815, 0.030, 0.215], [0.000, 0.500, 0.500], [0.643, 0.643, 0.000], [0.357, 0.357, 0.000], [0.500, 0.115, 0.615], [0.500, 0.885, 0.385], [0.000, 0.000, 0.000]],
  "final_energy_ev_per_atom": -6.1446
}

{
  "formula": "Ni6Sn2B",
  "functional": "GGA-PBE",
  "state": "relaxed",
  "cell": [[-0.867, 2.538, -1.792], [-5.017, -3.465, -2.480], [-0.434, 2.321, 6.370]],
  "species": ["Ni", "Ni", "Ni", "Ni", "Ni", "Ni", "Sn", "Sn", "B"],
  "frac_coords": [[0.160, 0.351, 0.323], [0.840, 0.028, 0.677], [0.840, 0.649, 0.677], [0.500, 0.185, 0.000], [0.160, 0.972, 0.323], [0.500, 0.815, 0.000], [0.639, 0.641, 0.281], [0.361, 0.359, 0.719], [0.000, 0.000, 0.000]],
  "final_energy_ev_per_atom": -5.5572
}

{
  "formula": "Ni5SnB",
  "functional": "GGA-PBE",
  "state": "relaxed",
  "cell": [[-2.653, -1.728, 1.674], [2.261, -2.642, 0.857], [1.442, 2.971, 5.353]],
  "species": ["Ni", "Ni", "Ni", "Ni", "Ni", "Sn", "B"],
  "frac_coords": [[0.000, 0.500, 0.813], [0.000, 0.500, 0.187], [0.500, 0.000, 0.813], [0.500, 0.000, 0.187], [0.500, 0.500, 0.500], [0.000, 0.000, 0.500], [0.500, 0.500, 0.000]],
  "final_energy_ev_per_atom": -5.8198
}

{
  "formula": "NiSn2B2",
  "functional": "GGA-PBE",
  "state": "relaxed",
  "cell": [[5.127, 0.000, 0.000], [0.000, 5.127, 0.000], [2.564, 2.564, 2.848]],
  "species": ["Ni", "B", "B", "Sn", "Sn"],
  "frac_coords": [[0.000, 0.000, 0.000], [0.356, 0.356, 0.289], [0.644, 0.644, 0.711], [0.750, 0.250, 0.500], [0.250, 0.750, 0.500]],
  "final_energy_ev_per_atom": -4.9596
}